! MgCrNO2 | the Alexandria database | PBE with a Hubbard U | relaxed; values from VASP
&SYSTEM
  ibrav = 0, nat = 5, ntyp = 4
/
ATOMIC_SPECIES
O 16.00 O.upf
Cr 52.00 Cr.upf
N 14.01 N.upf
Mg 24.30 Mg.upf
CELL_PARAMETERS angstrom
3.8263 0.0000 0.0000
0.0000 3.8263 0.0000
0.0000 0.0000 4.0754
ATOMIC_POSITIONS crystal
O 0.5000 0.0000 0.0000
O 0.0000 0.5000 0.0000
Cr 0.5000 0.5000 0.5000
N 0.0000 0.0000 0.5000
Mg 0.0000 0.0000 0.0000
! - magnetic moment (μB/atom) = 0.200
! - energy (eV for the cell shown) = -27.6